This record from Alexandria describes a geometry-optimized Mg4CuPb structure. The functional is GGA-PBE.

## Properties
Space-group type: C2/c, No. 15

Geometry as POSCAR:
```
Mg4CuPb
1.0
4.098 -6.214 0.000
4.098 6.214 0.000
-1.692 0.000 5.169
Mg Cu Pb
8 2 2
direct
0.068 0.719 0.943
0.187 0.366 0.635
0.281 0.932 0.557
0.366 0.187 0.135
0.634 0.813 0.865
0.719 0.068 0.443
0.813 0.634 0.365
0.932 0.281 0.057
0.001 0.999 0.750
0.999 0.001 0.250
0.382 0.618 0.250
0.618 0.382 0.750
```

---

This record from Alexandria describes a geometry-optimized Mg3CuPb structure. The functional is GGA-PBE.

## Properties
Space-group type: Pm-3m, No. 221

Geometry as POSCAR:
```
Mg3CuPb
1.0
4.944 0.000 0.000
0.000 4.944 0.000
0.000 0.000 4.944
Mg Cu Pb
3 1 1
direct
0.000 0.000 0.500
0.000 0.500 0.000
0.500 0.000 0.000
0.000 0.000 0.000
0.500 0.500 0.500
```

---

This record from Alexandria describes a geometry-optimized Mg2CuPb structure. The functional is GGA-PBE.

## Properties
Space-group type: Cm, No. 8

Geometry as POSCAR:
```
Mg2CuPb
1.0
5.140 -1.709 0.000
5.140 1.709 0.000
-1.898 0.000 4.906
Mg Cu Pb
2 1 1
direct
0.000 0.000 0.000
0.216 0.216 0.683
0.722 0.722 0.091
0.439 0.439 0.441
```

---

| no. | total DFT energy (no corrections) (eV/atom) |
| --- | --- |
| 1 | -2.436 |
| 2 | -2.433 |
| 3 | -2.712 |